{
  "formula": "ZrBe2Zn2",
  "functional": "PBE",
  "state": "relaxed",
  "relative_energy_ev_per_atom": 0.138,
  "space_group": "P4/mbm (127)",
  "lattice": [[7.235, 0.000, 0.000], [0.000, 7.235, 0.000], [0.000, 0.000, 2.584]],
  "species": ["Be", "Be", "Be", "Be", "Zn", "Zn", "Zn", "Zn", "Zr", "Zr"],
  "frac_coords": [[0.373, 0.873, 0.000], [0.873, 0.627, 0.000], [0.627, 0.127, 0.000], [0.127, 0.373, 0.000], [0.165, 0.665, 0.500], [0.665, 0.835, 0.500], [0.835, 0.335, 0.500], [0.335, 0.165, 0.500], [0.000, 0.000, 0.000], [0.500, 0.500, 0.000]]
}